Material: KMg2Ir
Method: DFT, PBE
State: relaxed

Values from the calculation:
* crystal system: tetragonal
* distance to the lowest polymorph of the same formula: 0.421 eV per atom

Unit cell a=5.955 b=5.955 c=9.136 alpha=70.98 beta=70.98 gamma=90.00
Sites, in units of the cell vectors:
K 0.500 0.500 0.000
K 0.250 0.750 0.500
Ir 0.000 0.000 0.000
Ir 0.750 0.250 0.500
Mg 0.875 0.125 0.250
Mg 0.875 0.625 0.250
Mg 0.375 0.125 0.750
Mg 0.875 0.125 0.750

---

Material: KMgIr2
Method: DFT, PBE
State: relaxed

Values from the calculation:
* crystal system: orthorhombic

Unit cell a=2.838 b=4.003 c=8.188 alpha=90.00 beta=90.00 gamma=90.00
Sites, in units of the cell vectors:
Ir 0.000 0.000 0.051
Ir 0.500 0.500 0.153
K 0.000 0.000 0.459
Mg 0.500 0.500 0.837

---

Material: KMg2Ir
Method: DFT, PBE
State: relaxed

Values from the calculation:
* crystal system: orthorhombic
* distance to the lowest polymorph of the same formula: 0.057 eV per atom

Unit cell a=8.553 b=8.553 c=8.553 alpha=159.11 beta=150.33 gamma=36.57
Sites, in units of the cell vectors:
Ir 0.485 0.485 0.000
K 0.669 0.169 0.500
Mg 0.991 0.991 0.000
Mg 0.355 0.855 0.500

---

Material: KMg2Ir
Method: DFT, PBE
State: relaxed

Values from the calculation:
* crystal system: trigonal
* distance to the lowest polymorph of the same formula: 0.241 eV per atom

Unit cell a=10.725 b=10.725 c=10.725 alpha=16.98 beta=16.98 gamma=16.98
Sites, in units of the cell vectors:
Ir 0.250 0.250 0.250
K 0.750 0.750 0.750
Mg 0.979 0.979 0.979
Mg 0.521 0.521 0.521

---

Material: KMg2Ir
Method: DFT, PBE
State: relaxed

Values from the calculation:
* crystal system: orthorhombic
* distance to the lowest polymorph of the same formula: 0.101 eV per atom

Unit cell a=4.336 b=3.084 c=8.136 alpha=90.05 beta=90.00 gamma=90.00
Sites, in units of the cell vectors:
Ir 0.000 0.625 0.356
K 0.500 0.626 0.716
Mg 0.000 0.124 0.090
Mg 0.500 0.125 0.338

---

Material: KMgIr2
Method: DFT, PBE
State: relaxed

Values from the calculation:
* crystal system: trigonal

Unit cell a=9.929 b=9.929 c=9.929 alpha=16.67 beta=16.67 gamma=16.67
Sites, in units of the cell vectors:
Ir 0.011 0.011 0.011
Ir 0.489 0.489 0.489
K 0.250 0.250 0.250
Mg 0.750 0.750 0.750

---

The evaluated DOS at the Fermi energy for the records listed, in turn: 4.40 4.54 1.45 3.03 1.71 4.23 states/eV per cell.
The evaluated ΔH_f (0 K) for the records listed, in turn: 407.6 230.7 43.0 227.3 87.3 293.4 meV/atom.